Record 1
FeRe3: relaxed, PBE.

Cell lengths 5.403, 5.403, 4.372 Å; angles 90.00, 90.00, 120.00 degrees
Element x y z (fractional)
Fe 0.333 0.667 0.250
Fe 0.667 0.333 0.750
Re 0.167 0.335 0.750
Re 0.167 0.833 0.750
Re 0.335 0.167 0.250
Re 0.665 0.833 0.750
Re 0.833 0.167 0.250
Re 0.833 0.665 0.250

Computed properties:
As for the formation energy from the elements: -0.001 eV/atom. As for the total energy: -0.8375 Ry/atom.


Record 2
CsTaNO: relaxed, PBE.

Cell lengths 3.554, 7.561, 6.405 Å; angles 90.00, 90.00, 90.00 degrees
Element x y z (fractional)
Cs 0.000 0.146 0.000
Cs 0.000 0.854 0.500
Ta 0.500 0.380 0.501
Ta 0.500 0.620 0.001
N 0.000 0.271 0.495
N 0.000 0.729 0.995
O 0.500 0.429 0.808
O 0.500 0.571 0.308

Computed properties:
As for the total energy: -0.5681 Ry/atom.


Record 3
Li2CdReS4: relaxed, PBE.

Cell lengths 8.052, 6.822, 6.481 Å; angles 90.00, 90.00, 90.00 degrees
Element x y z (fractional)
Li 0.248 0.175 0.000
Li 0.252 0.825 0.500
Li 0.748 0.825 0.500
Li 0.752 0.175 0.000
Cd 0.000 0.341 0.506
Cd 0.500 0.659 0.006
Re 0.000 0.683 0.000
Re 0.500 0.317 0.500
S 0.000 0.364 0.910
S 0.000 0.692 0.347
S 0.228 0.834 0.880
S 0.272 0.166 0.380
S 0.500 0.308 0.847
S 0.500 0.636 0.410
S 0.728 0.166 0.380
S 0.772 0.834 0.880

Computed properties:
As for the total energy: -0.3517 Ry/atom.


Record 4
Cs2NaTcSe6: relaxed, PBE.

Cell lengths 7.511, 7.511, 7.511 Å; angles 120.00, 120.00, 89.99 degrees
Element x y z (fractional)
Cs 0.250 0.750 0.500
Cs 0.750 0.250 0.500
Na 0.000 0.000 0.000
Tc 0.500 0.500 0.000
Se 0.263 0.268 0.531
Se 0.266 0.266 0.000
Se 0.268 0.737 0.004
Se 0.732 0.263 0.996
Se 0.734 0.734 0.000
Se 0.737 0.732 0.469

Computed properties:
As for the total energy: -0.2770 Ry/atom.


Record 5
DyLu2Cu4Si4: relaxed, PBE.

Cell lengths 7.769, 7.769, 7.769 Å; angles 149.64, 130.43, 59.24 degrees
Element x y z (fractional)
Dy 0.000 0.000 0.000
Lu 0.372 0.872 0.500
Lu 0.628 0.128 0.500
Cu 0.023 0.330 0.693
Cu 0.363 0.670 0.693
Cu 0.637 0.330 0.307
Cu 0.977 0.670 0.307
Si 0.217 0.217 0.000
Si 0.316 0.500 0.816
Si 0.684 0.500 0.184
Si 0.783 0.783 0.000

Computed properties:
As for the total energy: -0.3823 Ry/atom.


Record 6
Gd4SiSe3: relaxed, PBE.

Cell lengths 5.833, 5.833, 11.748 Å; angles 90.00, 90.00, 90.00 degrees
Element x y z (fractional)
Gd 0.000 0.000 0.241
Gd 0.000 0.000 0.759
Gd 0.000 0.500 0.000
Gd 0.000 0.500 0.500
Gd 0.500 0.000 0.000
Gd 0.500 0.000 0.500
Gd 0.500 0.500 0.259
Gd 0.500 0.500 0.741
Si 0.000 0.000 0.000
Si 0.500 0.500 0.500
Se 0.000 0.000 0.500
Se 0.000 0.500 0.250
Se 0.000 0.500 0.750
Se 0.500 0.000 0.250
Se 0.500 0.000 0.750
Se 0.500 0.500 0.000

Computed properties:
As for the total energy: -0.4361 Ry/atom.


Record 7
HfZrCo2As2: relaxed, PBE.

Cell lengths 9.786, 3.748, 11.647 Å; angles 90.00, 97.81, 90.00 degrees
Element x y z (fractional)
Hf 0.000 0.000 0.000
Hf 0.061 0.500 0.772
Hf 0.559 0.500 0.788
Hf 0.851 0.500 0.275
Zr 0.228 0.000 0.497
Zr 0.355 0.500 0.247
Zr 0.493 0.000 0.005
Zr 0.718 0.000 0.491
Co 0.073 0.000 0.272
Co 0.203 0.500 0.009
Co 0.374 0.000 0.755
Co 0.501 0.500 0.542
Co 0.617 0.000 0.276
Co 0.733 0.500 0.018
Co 0.876 0.000 0.751
Co 0.950 0.500 0.552
As 0.082 0.500 0.165
As 0.239 0.000 0.900
As 0.301 0.500 0.650
As 0.455 0.000 0.406
As 0.595 0.500 0.161
As 0.741 0.000 0.905
As 0.758 0.500 0.655
As 0.967 0.000 0.434

Computed properties:
As for the total energy: -0.5435 Ry/atom.


Record 8
YAlCd: relaxed, PBE.

Cell lengths 4.682, 4.682, 7.246 Å; angles 90.00, 90.00, 120.00 degrees
Element x y z (fractional)
Y 0.000 0.000 0.000
Y 0.000 0.000 0.500
Al 0.667 0.333 0.210
Al 0.667 0.333 0.790
Cd 0.333 0.667 0.282
Cd 0.333 0.667 0.718

Computed properties:
As for the total energy: -0.3028 Ry/atom.